# 1
VASP calculation (PBE) on an optimized crystal structure of Pr2Nd5Tm3.

Unit cell a=6.865 b=12.525 c=12.525 alpha=44.62 beta=74.09 gamma=74.09
Atoms (fractional coordinates):
Nd1 0.003 0.247 0.247
Pr1 0.121 0.778 0.979
Tm1 0.250 0.000 0.000
Nd2 0.627 0.280 0.466
Tm2 0.750 0.000 0.000
Nd3 0.497 0.753 0.753
Nd4 0.127 0.466 0.280
Tm3 0.382 0.365 0.872
Nd5 0.873 0.534 0.720
Tm4 0.882 0.872 0.365
Pr2 0.879 0.222 0.021
Tm5 0.118 0.128 0.635
Nd6 0.503 0.247 0.247
Nd7 0.750 0.500 0.500
Pr3 0.379 0.021 0.222
Nd8 0.250 0.500 0.500
Tm6 0.618 0.635 0.128
Pr4 0.621 0.979 0.778
Nd9 0.373 0.720 0.534
Nd10 0.997 0.753 0.753

SG	No. 72
polymorph energy (0 for the lowest one)	189	meV/atom
crystal system	orthorhombic
energy relative to the elements	371	meV/atom

# 2
VASP calculation (PBE) on an optimized crystal structure of Pr3Nd8Tm2.

Unit cell a=6.253 b=8.936 c=8.936 alpha=83.65 beta=72.94 gamma=72.94
Atoms (fractional coordinates):
Tm1 0.640 0.711 0.711
Tm2 0.360 0.289 0.289
Nd1 0.674 0.569 0.082
Nd2 0.789 0.444 0.444
Pr1 0.000 0.757 0.243
Pr2 0.500 0.000 0.000
Nd3 0.049 0.845 0.845
Nd4 0.326 0.918 0.431
Nd5 0.326 0.431 0.918
Nd6 0.674 0.082 0.569
Pr3 0.000 0.243 0.757
Nd7 0.211 0.556 0.556
Nd8 0.951 0.155 0.155

SG	No. 12
polymorph energy (0 for the lowest one)	0	meV/atom
crystal system	monoclinic
energy relative to the elements	149	meV/atom